Compound: Ba2BrO5
Source: the Alexandria database
Functional: GGA-PBE
Structure: optimized geometry

Computed properties:
The calculation puts the raw formation energy at -1.30 eV/atom. Its magnetic moment is 1.0 Bohr magnetons per cell.

Lattice parameters (Å, degrees): 6.127 6.127 5.791 121.94 121.94 90.00
Atoms (fractional coordinates):
Ba: 0.244 0.744 0.488
Ba: 0.744 0.244 0.488
Br: 0.985 0.985 0.969
O: 0.794 0.227 0.021
O: 0.227 0.227 0.021
O: 0.794 0.794 0.021
O: 0.227 0.794 0.021
O: 0.761 0.761 0.523